(1)
Density functional theory data (meta-GGA SCAN) for LaTa2Si at its PBEsol-relaxed geometry.

Cell and atoms, written as POSCAR:
```
LaTa2Si
1.0
-2.2247 2.2247 3.7193
2.2247 -2.2247 3.7193
2.2247 2.2247 -3.7193
La Ta Si
1 2 1
Direct
0.0000 0.0000 0.0000
0.2500 0.7500 0.5000
0.7500 0.2500 0.5000
0.5000 0.5000 0.0000
```

Output
Its density of states at the Fermi level is 0.790 states/eV/atom. As for the space group: I4/mmm, No. 139.


(2)
Density functional theory data (meta-GGA SCAN) for LaTa2Si at its PBEsol-relaxed geometry.

Cell and atoms, written as POSCAR:
```
LaTa2Si
1.0
4.3582 -1.6485 0.0000
4.3582 1.6485 0.0000
-1.0760 0.0000 6.0521
La Ta Si
1 2 1
Direct
0.0000 0.0000 0.0000
0.5412 0.5412 0.5363
0.7970 0.7970 0.3534
0.2667 0.2667 0.6795
```

Output
Its density of states at the Fermi level is 0.878 states/eV/atom. As for the space group: Cm, No. 8.


(3)
Density functional theory data (meta-GGA SCAN) for LaSiTc2 at its PBEsol-relaxed geometry.

Cell and atoms, written as POSCAR:
```
LaSiTc2
1.0
-1.5756 2.6800 4.0996
1.5756 -2.6800 4.0996
1.5756 2.6800 -4.0996
La Si Tc
1 1 2
Direct
0.0000 0.0000 0.0000
0.5000 0.5000 0.0000
0.2757 0.7757 0.5000
0.7243 0.2243 0.5000
```

Output
Its density of states at the Fermi level is 0.710 states/eV/atom. As for the space group: Immm, No. 71.


(4)
Density functional theory data (meta-GGA SCAN) for LaSi2Tc at its PBEsol-relaxed geometry.

Cell and atoms, written as POSCAR:
```
LaSi2Tc
1.0
3.7904 -1.9483 0.0000
3.7904 1.9483 0.0000
-2.0901 0.0000 5.2146
La Si Tc
1 2 1
Direct
0.0000 0.0000 0.0000
0.2176 0.2176 0.6237
0.7824 0.7824 0.3763
0.5000 0.5000 0.5000
```

Output
Its density of states at the Fermi level is 0.573 states/eV/atom. As for the space group: C2/m, No. 12.


(5)
Density functional theory data (meta-GGA SCAN) for LaSi2Tc2 at its PBEsol-relaxed geometry.

Cell and atoms, written as POSCAR:
```
LaSi2Tc2
1.0
-2.0663 2.0663 5.1914
2.0663 -2.0663 5.1914
2.0663 2.0663 -5.1914
La Si Tc
1 2 2
Direct
0.0000 0.0000 0.0000
0.3732 0.3732 0.0000
0.6268 0.6268 0.0000
0.2500 0.7500 0.5000
0.7500 0.2500 0.5000
```

Output
Its density of states at the Fermi level is 0.919 states/eV/atom. As for the space group: I4/mmm, No. 139.


(6)
Density functional theory data (meta-GGA SCAN) for LaSiTc2 at its PBEsol-relaxed geometry.

Cell and atoms, written as POSCAR:
```
LaSiTc2
1.0
2.0822 1.2022 5.3713
-2.0822 1.2022 5.3713
0.0000 -2.4043 5.3713
La Si Tc
1 1 2
Direct
0.0000 0.0000 0.0000
0.2045 0.2045 0.2045
0.5017 0.5017 0.5017
0.8008 0.8008 0.8008
```

Output
Its density of states at the Fermi level is 0.451 states/eV/atom. As for the space group: R3m, No. 160.


(7)
Density functional theory data (meta-GGA SCAN) for LaSi3Te at its PBEsol-relaxed geometry.

Cell and atoms, written as POSCAR:
```
LaSi3Te
1.0
5.1311 0.0000 0.0000
0.0000 5.1311 0.0000
0.0000 0.0000 5.1311
La Si Te
1 3 1
Direct
0.0000 0.0000 0.0000
0.0000 0.5000 0.5000
0.5000 0.0000 0.5000
0.5000 0.5000 0.0000
0.5000 0.5000 0.5000
```

Output
Its density of states at the Fermi level is 0.896 states/eV/atom. As for the space group: Pm-3m, No. 221.


(8)
Density functional theory data (meta-GGA SCAN) for La2SiTe at its PBEsol-relaxed geometry.

Cell and atoms, written as POSCAR:
```
La2SiTe
1.0
-2.2335 2.2335 5.4102
2.2335 -2.2335 5.4102
2.2335 2.2335 -5.4102
La Si Te
2 1 1
Direct
0.0000 0.0000 0.0000
0.7500 0.2500 0.5000
0.5000 0.5000 0.0000
0.2500 0.7500 0.5000
```

Output
Its density of states at the Fermi level is 0.513 states/eV/atom. As for the space group: I-4m2, No. 119.


(9)
Density functional theory data (meta-GGA SCAN) for La2SiTe at its PBEsol-relaxed geometry.

Cell and atoms, written as POSCAR:
```
La2SiTe
1.0
2.2052 1.2732 7.3721
-2.2052 1.2732 7.3721
0.0000 -2.5463 7.3721
La Si Te
2 1 1
Direct
0.2422 0.2422 0.2422
0.7578 0.7578 0.7578
0.5000 0.5000 0.5000
0.0000 0.0000 0.0000
```

Output
Its density of states at the Fermi level is 0.183 states/eV/atom. As for the space group: R-3m, No. 166.


(10)
Density functional theory data (meta-GGA SCAN) for La2SiTe at its PBEsol-relaxed geometry.

Cell and atoms, written as POSCAR:
```
La2SiTe
1.0
4.4340 0.0000 0.0000
0.0000 4.4340 0.0000
0.0000 0.0000 6.2551
La Si Te
2 1 1
Direct
0.0000 0.0000 0.0000
0.5000 0.5000 0.5000
0.0000 0.0000 0.5000
0.5000 0.5000 0.0000
```

Output
Its density of states at the Fermi level is 0.278 states/eV/atom. As for the space group: P4/mmm, No. 123.


(11)
Density functional theory data (meta-GGA SCAN) for La4SiTe at its PBEsol-relaxed geometry.

Cell and atoms, written as POSCAR:
```
La4SiTe
1.0
0.0000 4.4260 4.4260
4.4260 0.0000 4.4260
4.4260 4.4260 0.0000
La Si Te
4 1 1
Direct
0.1242 0.1242 0.1242
0.1242 0.1242 0.6275
0.1242 0.6275 0.1242
0.6275 0.1242 0.1242
0.7500 0.7500 0.7500
0.5000 0.5000 0.5000
```

Output
Its density of states at the Fermi level is 1.001 states/eV/atom. As for the space group: F-43m, No. 216.


(12)
Density functional theory data (meta-GGA SCAN) for La2SiTe at its PBEsol-relaxed geometry.

Cell and atoms, written as POSCAR:
```
La2SiTe
1.0
0.0000 3.7966 3.7966
3.7966 0.0000 3.7966
3.7966 3.7966 0.0000
La Si Te
2 1 1
Direct
0.2500 0.2500 0.2500
0.7500 0.7500 0.7500
0.0000 0.0000 0.0000
0.5000 0.5000 0.5000
```

Output
Its density of states at the Fermi level is 0.504 states/eV/atom. As for the space group: Fm-3m, No. 225.


(13)
Density functional theory data (meta-GGA SCAN) for LaTl2Si at its PBEsol-relaxed geometry.

Cell and atoms, written as POSCAR:
```
LaTl2Si
1.0
4.0990 0.0000 0.0000
0.0000 2.2500 5.7795
0.0000 -2.2500 5.7795
La Tl Si
1 2 1
Direct
0.0000 0.0000 0.0000
0.0000 0.2824 0.2824
0.5000 0.7033 0.7033
0.5000 0.4588 0.4588
```

Output
Its density of states at the Fermi level is 0.595 states/eV/atom. As for the space group: Amm2, No. 38.


(14)
Density functional theory data (meta-GGA SCAN) for LaTl2Si at its PBEsol-relaxed geometry.

Cell and atoms, written as POSCAR:
```
LaTl2Si
1.0
-1.9796 2.3865 5.3109
1.9796 -2.3865 5.3109
1.9796 2.3865 -5.3109
La Tl Si
1 2 1
Direct
0.0000 0.0000 0.0000
0.2767 0.7767 0.5000
0.7233 0.2233 0.5000
0.5000 0.5000 0.0000
```

Output
Its density of states at the Fermi level is 0.441 states/eV/atom. As for the space group: Immm, No. 71.


(15)
Density functional theory data (meta-GGA SCAN) for LaTlSi at its PBEsol-relaxed geometry.

Cell and atoms, written as POSCAR:
```
LaTlSi
1.0
-1.6408 1.9785 5.6346
1.6408 -1.9785 5.6346
1.6408 1.9785 -5.6346
La Tl Si
1 1 1
Direct
0.0000 0.0000 0.0000
0.2969 0.2969 0.0000
0.6640 0.6640 0.0000
```

Output
Its density of states at the Fermi level is 0.594 states/eV/atom. As for the space group: Imm2, No. 44.


(16)
Density functional theory data (meta-GGA SCAN) for LaTl2Si at its PBEsol-relaxed geometry.

Cell and atoms, written as POSCAR:
```
LaTl2Si
1.0
0.0000 3.7085 3.7085
3.7085 0.0000 3.7085
3.7085 3.7085 0.0000
La Tl Si
1 2 1
Direct
0.0000 0.0000 0.0000
0.2500 0.2500 0.2500
0.7500 0.7500 0.7500
0.5000 0.5000 0.5000
```

Output
Its density of states at the Fermi level is 0.477 states/eV/atom. As for the space group: Fm-3m, No. 225.


(17)
Density functional theory data (meta-GGA SCAN) for LaSiW2 at its PBEsol-relaxed geometry.

Cell and atoms, written as POSCAR:
```
LaSiW2
1.0
-1.3525 2.6044 5.2409
1.3525 -2.6044 5.2409
1.3525 2.6044 -5.2409
La Si W
1 1 2
Direct
0.0000 0.0000 0.0000
0.5000 0.5000 0.0000
0.2891 0.7891 0.5000
0.7109 0.2109 0.5000
```

Output
Its density of states at the Fermi level is 0.765 states/eV/atom. As for the space group: Immm, No. 71.


(18)
Density functional theory data (meta-GGA SCAN) for LaSiW at its PBEsol-relaxed geometry.

Cell and atoms, written as POSCAR:
```
LaSiW
1.0
0.0000 3.1572 3.1572
3.1572 0.0000 3.1572
3.1572 3.1572 0.0000
La Si W
1 1 1
Direct
0.0000 0.0000 0.0000
0.5000 0.5000 0.5000
0.2500 0.2500 0.2500
```

Output
Its density of states at the Fermi level is 1.117 states/eV/atom. As for the space group: F-43m, No. 216.


(19)
Density functional theory data (meta-GGA SCAN) for LaSiW4 at its PBEsol-relaxed geometry.

Cell and atoms, written as POSCAR:
```
LaSiW4
1.0
0.0000 3.8166 3.8166
3.8166 0.0000 3.8166
3.8166 3.8166 0.0000
La Si W
1 1 4
Direct
0.0000 0.0000 0.0000
0.2500 0.2500 0.2500
0.1255 0.6248 0.6248
0.6248 0.1255 0.6248
0.6248 0.6248 0.1255
0.6248 0.6248 0.6248
```

Output
Its density of states at the Fermi level is 0.831 states/eV/atom. As for the space group: F-43m, No. 216.


(20)
Density functional theory data (meta-GGA SCAN) for LaSiW at its PBEsol-relaxed geometry.

Cell and atoms, written as POSCAR:
```
LaSiW
1.0
3.6017 0.0000 0.0000
-1.8009 3.1192 0.0000
0.0000 0.0000 5.7566
La Si W
1 1 1
Direct
0.0000 0.0000 0.0000
0.3333 0.6667 0.6218
0.6667 0.3333 0.4018
```

Output
Its density of states at the Fermi level is 0.805 states/eV/atom. As for the space group: P3m1, No. 156.


(21)
Density functional theory data (meta-GGA SCAN) for LaSiW2 at its PBEsol-relaxed geometry.

Cell and atoms, written as POSCAR:
```
LaSiW2
1.0
3.2157 0.0000 0.0000
0.0000 3.2157 0.0000
0.0000 0.0000 7.2734
La Si W
1 1 2
Direct
0.0000 0.0000 0.0000
0.5000 0.5000 0.3065
0.0000 0.0000 0.4955
0.5000 0.5000 0.6829
```

Output
Its density of states at the Fermi level is 0.634 states/eV/atom. As for the space group: P4mm, No. 99.


(22)
Density functional theory data (meta-GGA SCAN) for LaSi2W at its PBEsol-relaxed geometry.

Cell and atoms, written as POSCAR:
```
LaSi2W
1.0
2.9242 -3.7901 0.0000
2.9242 3.7901 0.0000
-0.7953 0.0000 3.3234
La Si W
1 2 1
Direct
0.0000 0.0000 0.0000
0.0000 0.5000 0.5000
0.5000 0.0000 0.5000
0.5000 0.5000 0.0000
```

Output
Its density of states at the Fermi level is 0.719 states/eV/atom. As for the space group: C2/m, No. 12.


(23)
Density functional theory data (meta-GGA SCAN) for La2SiW at its PBEsol-relaxed geometry.

Cell and atoms, written as POSCAR:
```
La2SiW
1.0
3.2999 -1.5027 0.0000
3.2999 1.5027 0.0000
-0.5538 0.0000 9.4154
La Si W
2 1 1
Direct
0.2351 0.2351 0.2500
0.7649 0.7649 0.7500
0.5000 0.5000 0.0000
0.0000 0.0000 0.5000
```

Output
Its density of states at the Fermi level is 0.858 states/eV/atom. As for the space group: C2/m, No. 12.


(24)
Density functional theory data (meta-GGA SCAN) for LaSi2W at its PBEsol-relaxed geometry.

Cell and atoms, written as POSCAR:
```
LaSi2W
1.0
4.1669 0.0000 0.0000
0.0000 4.1669 0.0000
0.0000 0.0000 4.2185
La Si W
1 2 1
Direct
0.0000 0.0000 0.0000
0.0000 0.5000 0.5000
0.5000 0.0000 0.5000
0.5000 0.5000 0.0000
```

Output
Its density of states at the Fermi level is 0.744 states/eV/atom. As for the space group: P4/mmm, No. 123.


(25)
Density functional theory data (meta-GGA SCAN) for La4YSi at its PBEsol-relaxed geometry.

Cell and atoms, written as POSCAR:
```
La4YSi
1.0
0.0000 4.5015 4.5015
4.5015 0.0000 4.5015
4.5015 4.5015 0.0000
La Y Si
4 1 1
Direct
0.1238 0.1238 0.1238
0.1238 0.1238 0.6287
0.1238 0.6287 0.1238
0.6287 0.1238 0.1238
0.5000 0.5000 0.5000
0.7500 0.7500 0.7500
```

Output
Its density of states at the Fermi level is 1.049 states/eV/atom. As for the space group: F-43m, No. 216.


(26)
Density functional theory data (meta-GGA SCAN) for La2YSi2 at its PBEsol-relaxed geometry.

Cell and atoms, written as POSCAR:
```
La2YSi2
1.0
7.9166 0.0000 0.0000
0.0000 7.9166 0.0000
0.0000 0.0000 4.1616
La Y Si
4 2 4
Direct
0.1417 0.3583 0.0000
0.3583 0.8583 0.0000
0.6417 0.1417 0.0000
0.8583 0.6417 0.0000
0.0000 0.0000 0.5000
0.5000 0.5000 0.5000
0.1603 0.6603 0.5000
0.3397 0.1603 0.5000
0.6603 0.8397 0.5000
0.8397 0.3397 0.5000
```

Output
Its density of states at the Fermi level is 0.362 states/eV/atom. As for the space group: P4/mbm, No. 127.


(27)
Density functional theory data (meta-GGA SCAN) for La2ZnSi at its PBEsol-relaxed geometry.

Cell and atoms, written as POSCAR:
```
La2ZnSi
1.0
-1.9586 2.3535 5.0866
1.9586 -2.3535 5.0866
1.9586 2.3535 -5.0866
La Zn Si
2 1 1
Direct
0.0000 0.0000 0.0000
0.7131 0.2131 0.5000
0.2806 0.7806 0.5000
0.4341 0.4341 0.0000
```

Output
Its density of states at the Fermi level is 0.546 states/eV/atom. As for the space group: Imm2, No. 44.


(28)
Density functional theory data (meta-GGA SCAN) for La2ZnSi at its PBEsol-relaxed geometry.

Cell and atoms, written as POSCAR:
```
La2ZnSi
1.0
4.3226 0.0000 0.0000
0.0000 4.3226 0.0000
0.0000 0.0000 6.1510
La Zn Si
2 1 1
Direct
0.0000 0.0000 0.0000
0.5000 0.5000 0.4590
0.5000 0.5000 0.9463
0.0000 0.0000 0.5026
```

Output
Its density of states at the Fermi level is 0.898 states/eV/atom. As for the space group: P4mm, No. 99.


(29)
Density functional theory data (meta-GGA SCAN) for LaZnSi2 at its PBEsol-relaxed geometry.

Cell and atoms, written as POSCAR:
```
LaZnSi2
1.0
-1.8944 1.9834 5.3900
1.8944 -1.9834 5.3900
1.8944 1.9834 -5.3900
La Zn Si
1 1 2
Direct
0.0000 0.0000 0.0000
0.2663 0.7663 0.5000
0.6215 0.6215 0.0000
0.7682 0.2682 0.5000
```

Output
Its density of states at the Fermi level is 0.353 states/eV/atom. As for the space group: Imm2, No. 44.


(30)
Density functional theory data (meta-GGA SCAN) for LaZn2Si at its PBEsol-relaxed geometry.

Cell and atoms, written as POSCAR:
```
LaZn2Si
1.0
2.9751 -5.1832 0.0000
2.9751 5.1832 0.0000
-1.2319 0.0000 2.5801
La Zn Si
1 2 1
Direct
0.0000 0.0000 0.0000
0.0000 0.5000 0.5000
0.5000 0.0000 0.5000
0.5000 0.5000 0.0000
```

Output
Its density of states at the Fermi level is 0.357 states/eV/atom. As for the space group: C2/m, No. 12.


Total energy values, unit eV/atom, following the record order: -46.12 -46.44 -30.58 -25.14 -27.26 -31.24 -21.31 -34.23 -34.68 -34.61 -36.65 -34.31 -49.72 -49.70 -42.02 -49.48 -47.57 -40.25 -54.58 -40.53 -48.03 -32.75 -40.88 -32.65 -34.69 -27.51 -27.98 -27.69 -19.44 -19.92.
Total moment values, unit μB per formula unit, following the record order: 0.00 0.00 0.00 0.00 0.00 0.00 0.00 0.00 0.00 0.00 0.00 0.00 0.00 0.00 0.00 0.00 0.00 0.00 0.00 0.00 0.00 0.00 0.00 0.00 2.27 0.87 0.00 1.73 0.00 0.19.